Here is a relaxed MgBe2Re crystal from Alexandria via LeMat-Bulk. Energies are from PBE.

As for the formation energy: 0.744 eV/atom. The total energy is -37.0 eV/cell. The density of states at the Fermi level is 1.3 states/eV/f.u.

The structure in POSCAR format:
```
MgBe2Re
1.0
-1.899 -2.712 -1.913
1.915 -2.695 1.920
-5.722 -2.714 5.705
Be Re Mg
4 2 2
direct
0.013 0.625 0.250
0.737 0.125 0.250
0.875 0.987 0.750
0.375 0.263 0.750
0.000 0.000 0.000
0.750 0.250 0.500
0.500 0.500 0.000
0.250 0.750 0.500
```